No. 1
This record from the Alexandria database describes a geometry-optimized CeHf2FeN4 structure. The functional is GGA-PBE.

CIF file:
```
data_CeHf2FeN4
_space_group_name_H-M_alt 'C m c m'
_space_group_IT_number 63
_space_group_name_Hall '-C 2c 2'
_cell_length_a 3.2102
_cell_length_b 10.9607
_cell_length_c 11.0022
_cell_angle_alpha 90.00
_cell_angle_beta 90.00
_cell_angle_gamma 90.00
loop_
_atom_site_label
_atom_site_type_symbol
_atom_site_fract_x
_atom_site_fract_y
_atom_site_fract_z
Ce1 Ce 0.0000 0.1041 0.2500
Hf1 Hf 0.0000 0.3680 0.0528
Fe1 Fe 0.0000 0.1570 0.7500
N1 N 0.0000 0.0000 0.0000
N2 N 0.0000 0.2690 0.6152
N3 N 0.0000 0.4396 0.2500
```

Total magnetization = 3.67 μB/cell
Energy = -315.11 eV for the cell shown
Energy relative to the elements, uncorrected = -11.2 eV per formula unit

***

No. 2
This record from the Alexandria database describes a geometry-optimized CeHfFeTc structure. The functional is GGA-PBE.

CIF file:
```
data_CeHfFeTc
_space_group_name_H-M_alt 'F -4 3 m'
_space_group_IT_number 216
_space_group_name_Hall 'F -4 2 3'
_cell_length_a 6.6121
_cell_length_b 6.6121
_cell_length_c 6.6121
_cell_angle_alpha 90.00
_cell_angle_beta 90.00
_cell_angle_gamma 90.00
loop_
_atom_site_label
_atom_site_type_symbol
_atom_site_fract_x
_atom_site_fract_y
_atom_site_fract_z
Ce1 Ce 0.0000 0.0000 0.0000
Hf1 Hf 0.0000 0.0000 0.5000
Fe1 Fe 0.2500 0.2500 0.2500
Tc1 Tc 0.2500 0.2500 0.7500
```

Energy of formation from the pure elements = -0.094 eV per atom
Total magnetization = 0.93 μB/cell
Energy = -140.37 eV for the cell shown

***

No. 3
This record from the Alexandria database describes a geometry-optimized Ce2FeHg structure. The functional is GGA-PBE.

CIF file:
```
data_Ce2FeHg
_space_group_name_H-M_alt 'P 4/m m m'
_space_group_IT_number 123
_space_group_name_Hall '-P 4 2'
_cell_length_a 3.2233
_cell_length_b 3.2233
_cell_length_c 8.5772
_cell_angle_alpha 90.00
_cell_angle_beta 90.00
_cell_angle_gamma 90.00
loop_
_atom_site_label
_atom_site_type_symbol
_atom_site_fract_x
_atom_site_fract_y
_atom_site_fract_z
Ce1 Ce 0.0000 0.0000 0.2035
Fe1 Fe 0.5000 0.5000 0.0000
Hg1 Hg 0.5000 0.5000 0.5000
```

Energy of formation from the pure elements = -0.124 eV per atom
Total magnetization = 0.57 μB/cell
Energy = -21.13 eV for the cell shown
E above lowest polymorph = 0.01 eV/f.u.

***

No. 4
This record from the Alexandria database describes a geometry-optimized Ce6FeHg2 structure. The functional is GGA-PBE.

CIF file:
```
data_Ce6FeHg2
_space_group_name_H-M_alt 'C 1 2/m 1'
_space_group_IT_number 12
_cell_length_a 11.3612
_cell_length_b 7.0665
_cell_length_c 7.4764
_cell_angle_alpha 90.00
_cell_angle_beta 130.30
_cell_angle_gamma 90.00
loop_
_space_group_symop_operation_xyz
'x,y,z'
'-x,-y,-z'
'-x,y,-z'
'x,-y,z'
'x+1/2,y+1/2,z'
'-x+1/2,-y+1/2,-z'
'-x+1/2,y+1/2,-z'
'x+1/2,-y+1/2,z'
loop_
_atom_site_label
_atom_site_type_symbol
_atom_site_fract_x
_atom_site_fract_y
_atom_site_fract_z
Ce1 Ce 0.0146 0.2474 0.2586
Ce2 Ce 0.1817 0.5000 0.7484
Fe1 Fe 0.0000 0.0000 0.0000
Hg1 Hg 0.2452 0.0000 0.7532
```

Energy of formation from the pure elements = -0.170 eV per atom
Total magnetization = 0.00 μB/cell
Energy = -92.39 eV for the cell shown

***

No. 5
This record from the Alexandria database describes a geometry-optimized Ce5Fe2Hg2 structure. The functional is GGA-PBE.

CIF file:
```
data_Ce5Fe2Hg2
_space_group_name_H-M_alt 'C m c e'
_space_group_IT_number 64
_space_group_name_Hall '-C 2ac 2'
_cell_length_a 16.2581
_cell_length_b 6.5811
_cell_length_c 8.1301
_cell_angle_alpha 90.00
_cell_angle_beta 90.00
_cell_angle_gamma 90.00
loop_
_atom_site_label
_atom_site_type_symbol
_atom_site_fract_x
_atom_site_fract_y
_atom_site_fract_z
Ce1 Ce 0.0000 0.0000 0.0000
Ce2 Ce 0.1116 0.1448 0.3216
Fe1 Fe 0.0000 0.1693 0.6032
Hg1 Hg 0.2195 0.0000 0.0000
```

Energy of formation from the pure elements = -0.147 eV per atom
Total magnetization = 4.98 μB/cell
Energy = -194.09 eV for the cell shown

***

No. 6
This record from the Alexandria database describes a geometry-optimized Ce6Fe2Hg structure. The functional is GGA-PBE.

CIF file:
```
data_Ce6Fe2Hg
_space_group_name_H-M_alt 'C 1 2/m 1'
_space_group_IT_number 12
_cell_length_a 9.6866
_cell_length_b 5.1231
_cell_length_c 8.7381
_cell_angle_alpha 90.00
_cell_angle_beta 98.10
_cell_angle_gamma 90.00
loop_
_space_group_symop_operation_xyz
'x,y,z'
'-x,-y,-z'
'-x,y,-z'
'x,-y,z'
'x+1/2,y+1/2,z'
'-x+1/2,-y+1/2,-z'
'-x+1/2,y+1/2,-z'
'x+1/2,-y+1/2,z'
loop_
_atom_site_label
_atom_site_type_symbol
_atom_site_fract_x
_atom_site_fract_y
_atom_site_fract_z
Ce1 Ce 0.0507 0.0000 0.3665
Ce2 Ce 0.1119 0.5000 0.6584
Ce3 Ce 0.1930 0.5000 0.1242
Fe1 Fe 0.2273 0.5000 0.3706
Hg1 Hg 0.0000 0.0000 0.0000
```

Energy of formation from the pure elements = -0.174 eV per atom
Total magnetization = 0.00 μB/cell
Energy = -108.80 eV for the cell shown